No. 1
Li6Ag12Sb: optimized geometry, PBE-GGA.

For the spin magnetization, the calculation gives 0.0 Bohr magnetons per cell. The calculation puts the total energy at -52.28 eV/f.u.

The structure belongs to space group R-3 (No. 148, hexagonal axes); the cell edges are 9.7506, 9.7506 and 12.1927 Å and the angles 90.00°, 90.00° and 120.00°. The distinct sites, in fractional coordinates, are Li at (0.0198, 0.5873, 0.2021), Ag at (0.0244, 0.8356, 0.3114), Ag at (0.0629, 0.2135, 0.9120) and Sb at (0.0000, 0.0000, 0.5000).


No. 2
LiAgSb2: optimized geometry, PBE-GGA.

For the spin magnetization, the calculation gives 0.0 Bohr magnetons per cell. Its energy above the lowest structure with this stoichiometry is 0.124 eV per formula unit.

The structure belongs to space group C2/m (No. 12); the cell edges are 6.619, 8.285 and 3.261 Å and the angles 90.00°, 90.13° and 90.00°. The distinct sites, in fractional coordinates, are Li at (0.000, 0.000, 0.000), Ag at (0.000, 0.500, 0.000) and Sb at (0.250, 0.250, 0.500).


No. 3
LiAgSb2: optimized geometry, PBE-GGA.

For the spin magnetization, the calculation gives 0.0 Bohr magnetons per cell. Its energy above the lowest structure with this stoichiometry is 0.195 eV per formula unit.

The structure belongs to space group Immm (No. 71); the cell edges are 4.524, 4.701 and 8.459 Å and the angles 90.00°, 90.00° and 90.00°. The distinct sites, in fractional coordinates, are Li at (0.000, 0.000, 0.000), Ag at (0.000, 0.000, 0.500) and Sb at (0.000, 0.500, 0.250).


No. 4
LiAg2Sb: optimized geometry, PBE-GGA.

For the spin magnetization, the calculation gives 0.0 Bohr magnetons per cell. The calculation puts the total energy at -12.54 eV/f.u.

The structure belongs to space group I-4m2 (No. 119); the cell edges are 4.353, 4.353 and 8.054 Å and the angles 90.00°, 90.00° and 90.00°. The distinct sites, in fractional coordinates, are Li at (0.000, 0.000, 0.000), Ag at (0.000, 0.000, 0.500), Ag at (0.000, 0.500, 0.750) and Sb at (0.000, 0.500, 0.250).